Entry from Alexandria via LeMat-Bulk: a relaxed structure of Ac5Pm4Dy (PBE).

The calculated formation energy comes out at 36 meV per atom. The volume comes out at 390.00 Å³ per cell.

It has space group P4/mmm (No. 123), with a = 3.883 Å, b = 3.883 Å, c = 25.862 Å, α = 90.00°, β = 90.00° and γ = 90.00°. The asymmetric unit holds Ac at (0.000, 0.000, 0.000), Ac at (0.000, 0.000, 0.202), Ac at (0.000, 0.000, 0.403), Pm at (0.500, 0.500, 0.101), Pm at (0.500, 0.500, 0.303) and Dy at (0.500, 0.500, 0.500).

Entry from Alexandria via LeMat-Bulk: a relaxed structure of HfTlF6 (PBE).

Its formation energy from raw total energies is -3.01 eV/atom. The volume comes out at 443.34 Å³ per cell.

It has space group R-3 (No. 148, hexagonal axes), with a = 5.6814 Å, b = 5.6814 Å, c = 15.8601 Å, α = 90.00°, β = 90.00° and γ = 120.00°. The asymmetric unit holds Hf at (0.0000, 0.0000, 0.0000), Tl at (0.0000, 0.0000, 0.5000) and F at (0.0303, 0.3017, 0.0739).

Entry from Alexandria via LeMat-Bulk: a relaxed structure of Cu2AsF (PBE).

Its formation energy from raw total energies is -0.36 eV/atom. The volume comes out at 243.10 Å³ per cell.

It has space group I-42d (No. 122), with a = 5.899 Å, b = 5.899 Å, c = 6.986 Å, α = 90.00°, β = 90.00° and γ = 90.00°. The asymmetric unit holds Cu at (0.221, 0.250, 0.125), As at (0.000, 0.000, 0.500) and F at (0.000, 0.000, 0.000).

Entry from Alexandria via LeMat-Bulk: a relaxed structure of AgPRuPb2 (PBE).

The calculated formation energy comes out at 1053 meV per atom. The volume comes out at 135.87 Å³ per cell.

It has space group P4/mmm (No. 123), with a = 5.453 Å, b = 5.453 Å, c = 4.569 Å, α = 90.00°, β = 90.00° and γ = 90.00°. The asymmetric unit holds Ag at (0.000, 0.000, 0.000), P at (0.000, 0.000, 0.500), Ru at (0.500, 0.500, 0.000) and Pb at (0.000, 0.500, 0.500).